[1]
! MnNb2Tc PBE-GGA optimized geometry; values from VASP
! **Crystal system**: monoclinic
! **Calculated formation energy**: -138 meV per atom
&SYSTEM
  ibrav = 0, nat = 8, ntyp = 3
/
ATOMIC_SPECIES
Mn 54.94 Mn.upf
Nb 92.91 Nb.upf
Tc 98.00 Tc.upf
CELL_PARAMETERS angstrom
-2.1025 -0.9641 -2.1207
-2.9121 -0.8093 3.2541
-3.5098 8.3729 1.9751
ATOMIC_POSITIONS crystal
Mn 0.5614 0.1887 0.1229
Mn 0.4386 0.8113 0.8771
Nb 0.8182 0.9320 0.6364
Nb 0.1818 0.0680 0.3636
Nb 0.0584 0.6916 0.1168
Nb 0.9416 0.3084 0.8832
Tc 0.3138 0.4357 0.6285
Tc 0.6862 0.5642 0.3715

***

[2]
! RbLi2PmCl6 PBE-GGA optimized geometry; values from VASP
! **Crystal system**: triclinic
! **Raw formation energy**: -2010 meV per atom
&SYSTEM
  ibrav = 0, nat = 10, ntyp = 4
/
ATOMIC_SPECIES
Rb 85.47 Rb.upf
Li 6.94 Li.upf
Pm 145.00 Pm.upf
Cl 35.45 Cl.upf
CELL_PARAMETERS angstrom
-5.3857 1.0426 4.3533
-0.6636 -3.9294 5.7506
1.4466 3.2549 6.6497
ATOMIC_POSITIONS crystal
Rb 0.7916 0.7913 0.6253
Li 0.5243 0.5242 0.4274
Li 0.0139 0.0151 0.9554
Pm 0.3173 0.3171 0.0485
Cl 0.6049 0.2643 0.2323
Cl 0.2648 0.8982 0.2330
Cl 0.8985 0.6049 0.2325
Cl 0.3116 0.7401 0.7536
Cl 0.7400 0.1950 0.7532
Cl 0.1948 0.3113 0.7541

***

Number 1: total magnetic moment 0.00 μB per formula unit, mass density 9.08 g/cm3. Number 2: total magnetic moment 0.00 μB per formula unit, mass density 2.81 g/cm3.